The following is a PBE calculation of an optimized crystal structure of TiGe2Pt, from the Alexandria database.

Lattice parameters (Å, degrees): 5.3455 5.3455 5.3455 44.19 44.19 44.19
Last column: nearest neighbours and their distance in Å.
Fractional coordinates of all 4 atoms:
Ti 0.0000 0.0000 0.0000  6 Ge 2.67
Ge 0.2415 0.2415 0.2415  3 Pt 2.56, 3 Ti 2.67
Ge 0.7585 0.7585 0.7585  3 Pt 2.56, 3 Ti 2.67
Pt 0.5000 0.5000 0.5000  6 Ge 2.56

## Properties
The total energy comes out at -24.64 eV for the cell shown. The formation energy is -0.368 eV/atom. The total moment is 0.00 μB/atom.

=====

The following is a PBE calculation of an optimized crystal structure of Cs2LiTl2, from the Alexandria database.

Lattice parameters (Å, degrees): 8.2132 8.2132 6.6088 90.00 90.00 90.00
Last column: nearest neighbours and their distance in Å.
Fractional coordinates of all 10 atoms:
Cs 0.1844 0.3156 0.0000  6 Tl 3.94-4.22, 5 Cs 4.25-4.28
Cs 0.3156 0.8156 0.0000  6 Tl 3.94-4.22, 5 Cs 4.25-4.28
Cs 0.6844 0.1844 0.0000  6 Tl 3.94-4.22, 5 Cs 4.25-4.28
Cs 0.8156 0.6844 0.0000  6 Tl 3.94-4.22, 5 Cs 4.25-4.28
Li 0.0000 0.0000 0.5000  4 Tl 3.21
Li 0.5000 0.5000 0.5000  4 Tl 3.21
Tl 0.1312 0.6312 0.5000  1 Tl 3.05, 2 Li 3.21
Tl 0.3688 0.1312 0.5000  1 Tl 3.05, 2 Li 3.21
Tl 0.6312 0.8688 0.5000  1 Tl 3.05, 2 Li 3.21
Tl 0.8688 0.3688 0.5000  1 Tl 3.05, 2 Li 3.21

## Properties
Its polymorph energy (0 for the lowest one) is 150 meV per atom. The total energy comes out at -16.31 eV for the cell shown. The formation energy is 0.040 eV/atom. The total moment is 0.00 μB/atom.

=====

The following is a PBE calculation of an optimized crystal structure of CaThPN, from the Alexandria database.

Lattice parameters (Å, degrees): 6.7456 6.7456 6.7456 33.73 33.73 33.73
Last column: nearest neighbours and their distance in Å.
Fractional coordinates of all 4 atoms:
Ca 0.0000 0.0000 0.0000  3 P 2.81, 3 N 2.91
Th 0.4832 0.4832 0.4832  3 N 2.48
P 0.2461 0.2461 0.2461  3 Ca 2.81, 3 Th 2.91
N 0.7630 0.7630 0.7630  3 Th 2.48

## Properties
The total energy comes out at -28.49 eV for the cell shown. Its raw formation energy is -1.3328 eV per atom. The total moment is 0.00 μB/atom.

=====

The following is a PBE calculation of an optimized crystal structure of BaNaEuBi, from the Alexandria database.

Lattice parameters (Å, degrees): 5.9708 5.9708 5.9708 60.00 60.00 60.00
Last column: nearest neighbours and their distance in Å.
Fractional coordinates of all 4 atoms:
Ba 0.0000 0.0000 0.0000  4 Na 3.66, 4 Bi 3.66
Na 0.7500 0.7500 0.7500  4 Ba 3.66, 4 Eu 3.66
Eu 0.5000 0.5000 0.5000  4 Na 3.66, 4 Bi 3.66
Bi 0.2500 0.2500 0.2500  4 Eu 3.66, 4 Ba 3.66

## Properties
The total energy comes out at -19.24 eV for the cell shown. The formation energy is -0.459 eV/atom. The total moment is 1.82 μB/atom.

=====

The following is a PBE calculation of an optimized crystal structure of Fe2RuRh, from the Alexandria database.

Lattice parameters (Å, degrees): 2.6619 3.6339 5.3229 90.00 90.00 90.00
Last column: nearest neighbours and their distance in Å.
Fractional coordinates of all 4 atoms:
Fe 0.0000 0.0000 0.2461  4 Ru 2.61, 4 Fe 2.62-2.70, 4 Rh 2.63
Fe 0.0000 0.0000 0.7539  4 Ru 2.61, 4 Fe 2.62-2.70, 4 Rh 2.63
Ru 0.5000 0.5000 0.0000  8 Fe 2.61, 2 Rh 2.66, 2 Ru 2.66
Rh 0.5000 0.5000 0.5000  8 Fe 2.63, 2 Ru 2.66, 2 Rh 2.66

## Properties
The total energy comes out at -33.22 eV for the cell shown. The formation energy is 0.084 eV/atom. The total moment is 1.07 μB/atom.

=====

The following is a PBE calculation of an optimized crystal structure of TmNbGa2, from the Alexandria database.

Lattice parameters (Å, degrees): 3.5329 3.5329 6.1291 90.00 90.00 90.00
Last column: nearest neighbours and their distance in Å.
Fractional coordinates of all 4 atoms:
Tm 0.0000 0.0000 0.0000  8 Ga 3.05, 2 Nb 3.06
Nb 0.0000 0.0000 0.5000  8 Ga 2.82, 2 Tm 3.06
Ga 0.5000 0.5000 0.2868  1 Ga 2.61, 4 Nb 2.82
Ga 0.5000 0.5000 0.7132  1 Ga 2.61, 4 Nb 2.82

## Properties
Its polymorph energy (0 for the lowest one) is 0 meV per atom. The total energy comes out at -21.98 eV for the cell shown. The formation energy is -0.345 eV/atom. The total moment is 0.00 μB/atom.

=====

The following is a PBE calculation of an optimized crystal structure of Li2CaMoRh, from the Alexandria database.

Lattice parameters (Å, degrees): 4.7891 4.7891 4.7352 90.00 90.00 90.00
Last column: nearest neighbours and their distance in Å.
Fractional coordinates of all 5 atoms:
Li 0.0000 0.5000 0.0000  2 Rh 2.39
Li 0.5000 0.0000 0.0000  2 Rh 2.39
Ca 0.0000 0.0000 0.5000  8 Li 3.37, 4 Mo 3.39
Mo 0.5000 0.5000 0.5000  2 Rh 2.37
Rh 0.5000 0.5000 0.0000  2 Mo 2.37, 4 Li 2.39

## Properties
The total energy comes out at -21.96 eV for the cell shown. The formation energy is 0.410 eV/atom. The total moment is 0.44 μB/atom.

=====

The following is a PBE calculation of an optimized crystal structure of Pr2Y5HoEr, from the Alexandria database.

Lattice parameters (Å, degrees): 10.0221 10.0221 10.0221 128.95 128.95 75.09
Last column: nearest neighbours and their distance in Å.
Fractional coordinates of all 18 atoms:
Pr 0.1185 0.6185 0.7369  1 Pr 2.89, 2 Y 3.04
Pr 0.3815 0.1185 0.5000  1 Pr 2.89, 2 Y 3.04
Pr 0.6185 0.8815 0.5000  1 Pr 2.89, 2 Y 3.04
Pr 0.8815 0.3815 0.2631  1 Pr 2.89, 2 Y 3.04
Y 0.0000 0.0000 0.0000  4 Pr 3.45, 8 Y 3.81
Y 0.0718 0.1463 0.5000  1 Pr 3.04, 1 Er 3.12
Y 0.1463 0.6463 0.0745  1 Pr 3.04, 1 Er 3.12
Y 0.3537 0.4282 0.5000  1 Pr 3.04, 1 Er 3.12
Y 0.4282 0.9282 0.0745  1 Pr 3.04, 1 Er 3.12
Y 0.5000 0.5000 0.0000  4 Pr 3.45, 8 Y 3.81
Y 0.5718 0.0718 0.9255  1 Pr 3.04, 1 Er 3.12
Y 0.6463 0.5718 0.5000  1 Pr 3.04, 1 Er 3.12
Y 0.8537 0.3537 0.9255  1 Pr 3.04, 1 Er 3.12
Y 0.9282 0.8537 0.5000  1 Pr 3.04, 1 Er 3.12
Ho 0.2500 0.2500 0.0000  8 Y 3.54
Ho 0.7500 0.7500 0.0000  8 Y 3.54
Er 0.2500 0.7500 0.5000  4 Y 3.12
Er 0.7500 0.2500 0.5000  4 Y 3.12

## Properties
The total energy comes out at -97.36 eV for the cell shown. The formation energy is 0.260 eV/atom. The total moment is 0.00 μB/atom.

=====

The following is a PBE calculation of an optimized crystal structure of NdGePd3, from the Alexandria database.

Lattice parameters (Å, degrees): 8.9293 8.9293 8.9293 145.58 145.58 49.47
Last column: nearest neighbours and their distance in Å.
Fractional coordinates of all 10 atoms:
Nd 0.1421 0.1421 0.0000  6 Pd 2.98-3.18, 2 Ge 3.17
Nd 0.8579 0.8579 0.0000  6 Pd 2.98-3.18, 2 Ge 3.17
Ge 0.2500 0.7500 0.5000  4 Pd 2.41
Ge 0.5000 0.5000 0.0000  8 Pd 2.43-2.70
Pd 0.3730 0.1281 0.7551  2 Ge 2.41-2.43, 2 Pd 2.59-2.70
Pd 0.3730 0.6179 0.2449  2 Ge 2.41-2.43, 2 Pd 2.59-2.70
Pd 0.3821 0.6270 0.7551  2 Ge 2.41-2.43, 2 Pd 2.59-2.70
Pd 0.5333 0.0333 0.5000  2 Ge 2.70, 2 Pd 2.93
Pd 0.8719 0.6270 0.2449  2 Ge 2.41-2.43, 2 Pd 2.59-2.70
Pd 0.9667 0.4667 0.5000  2 Ge 2.70, 2 Pd 2.93

## Properties
Its polymorph energy (0 for the lowest one) is 152 meV per atom. The total energy comes out at -54.47 eV for the cell shown. The formation energy is -0.454 eV/atom. The total moment is 0.00 μB/atom.

=====

The following is a PBE calculation of an optimized crystal structure of Tl2RhPb, from the Alexandria database.

Lattice parameters (Å, degrees): 7.5894 7.5894 7.5894 155.50 144.64 43.49
Last column: nearest neighbours and their distance in Å.
Fractional coordinates of all 4 atoms:
Tl 0.1827 0.1827 0.0000  2 Rh 3.04, 6 Tl 3.22-3.39
Tl 0.8173 0.8173 0.0000  2 Rh 3.04, 6 Tl 3.22-3.39
Rh 0.0000 0.5000 0.5000  4 Pb 2.81, 4 Tl 3.04
Pb 0.5000 0.0000 0.5000  4 Rh 2.81

## Properties
Its polymorph energy (0 for the lowest one) is 45 meV per atom. The total energy comes out at -15.45 eV for the cell shown. The formation energy is 0.085 eV/atom. The total moment is 0.00 μB/atom.

=====

The following is a PBE calculation of an optimized crystal structure of Er4ZnPSe2, from the Alexandria database.

Lattice parameters (Å, degrees): 7.0054 3.9568 7.0878 90.00 108.55 90.00
Last column: nearest neighbours and their distance in Å.
Fractional coordinates of all 8 atoms:
Er 0.2390 0.0000 0.2344  2 P 2.78, 1 Zn 2.83, 3 Se 2.89-2.93
Er 0.2472 0.5000 0.7566  1 P 2.81, 2 Zn 2.84, 3 Se 2.87-2.91
Er 0.7528 0.5000 0.2434  1 P 2.81, 2 Zn 2.84, 3 Se 2.87-2.91
Er 0.7610 0.0000 0.7656  2 P 2.78, 1 Zn 2.83, 3 Se 2.89-2.93
Zn 0.5000 0.0000 0.0000  6 Er 2.83-2.84
P 0.0000 0.5000 0.0000  6 Er 2.78-2.81
Se 0.0000 0.0000 0.5000  6 Er 2.87-2.89
Se 0.5000 0.5000 0.5000  6 Er 2.91-2.93

## Properties
The total energy comes out at -42.52 eV for the cell shown. Its raw formation energy is -1.3274 eV per atom. The total moment is 0.00 μB/atom.

=====

The following is a PBE calculation of an optimized crystal structure of NaRe3Pb, from the Alexandria database.

Lattice parameters (Å, degrees): 5.0921 5.0921 5.0921 90.00 90.00 90.00
Last column: nearest neighbours and their distance in Å.
Fractional coordinates of all 5 atoms:
Na 0.0000 0.0000 0.0000  12 Re 3.60
Re 0.0000 0.5000 0.5000  2 Pb 2.55
Re 0.5000 0.0000 0.5000  2 Pb 2.55
Re 0.5000 0.5000 0.0000  2 Pb 2.55
Pb 0.5000 0.5000 0.5000  6 Re 2.55

## Properties
Its polymorph energy (0 for the lowest one) is 106 meV per atom. The total energy comes out at -26.92 eV for the cell shown. The formation energy is 3.090 eV/atom. The total moment is 1.00 μB/atom.

=====

The following is a PBE calculation of an optimized crystal structure of Ho2MgRe, from the Alexandria database.

Lattice parameters (Å, degrees): 11.5675 11.5675 11.5675 15.23 15.23 15.23
Last column: nearest neighbours and their distance in Å.
Fractional coordinates of all 4 atoms:
Ho 0.0806 0.0806 0.0806  1 Re 2.76, 6 Ho 3.07
Ho 0.9194 0.9194 0.9194  1 Re 2.76, 6 Ho 3.07
Mg 0.5000 0.5000 0.5000  6 Mg 3.07
Re 0.0000 0.0000 0.0000  2 Ho 2.76, 6 Re 3.07

## Properties
The total energy comes out at -20.34 eV for the cell shown. The formation energy is 0.714 eV/atom. The total moment is 0.00 μB/atom.

=====

The following is a PBE calculation of an optimized crystal structure of NpInGaAu, from the Alexandria database.

Lattice parameters (Å, degrees): 4.9692 4.9692 4.9692 60.00 60.00 60.00
Last column: nearest neighbours and their distance in Å.
Fractional coordinates of all 4 atoms:
Np 0.0000 0.0000 0.0000  4 Au 3.04, 4 Ga 3.04
In 0.5000 0.5000 0.5000  4 Ga 3.04, 4 Au 3.04
Ga 0.7500 0.7500 0.7500  4 Np 3.04, 4 In 3.04
Au 0.2500 0.2500 0.2500  4 In 3.04, 4 Np 3.04

## Properties
The total energy comes out at -22.54 eV for the cell shown. The formation energy is -0.139 eV/atom. The total moment is 1.04 μB/atom.

=====

The following is a PBE calculation of an optimized crystal structure of Ge2IrPt2, from the Alexandria database.

Lattice parameters (Å, degrees): 6.8857 6.8857 3.3282 90.00 90.00 90.00
Last column: nearest neighbours and their distance in Å.
Fractional coordinates of all 10 atoms:
Ge 0.1550 0.3450 0.0000  6 Pt 2.58-2.64, 2 Ir 2.60
Ge 0.3450 0.8450 0.0000  6 Pt 2.58-2.64, 2 Ir 2.60
Ge 0.6550 0.1550 0.0000  6 Pt 2.58-2.64, 2 Ir 2.60
Ge 0.8450 0.6550 0.0000  6 Pt 2.58-2.64, 2 Ir 2.60
Ir 0.0000 0.0000 0.0000  4 Ge 2.60
Ir 0.5000 0.5000 0.0000  4 Ge 2.60
Pt 0.1431 0.6431 0.5000  6 Ge 2.58-2.64, 1 Pt 2.79
Pt 0.3569 0.1431 0.5000  6 Ge 2.58-2.64, 1 Pt 2.79
Pt 0.6431 0.8569 0.5000  6 Ge 2.58-2.64, 1 Pt 2.79
Pt 0.8569 0.3569 0.5000  6 Ge 2.58-2.64, 1 Pt 2.79

## Properties
The total energy comes out at -60.94 eV for the cell shown. The formation energy is -0.059 eV/atom. The total moment is 0.00 μB/atom.

=====

The following is a PBE calculation of an optimized crystal structure of LaMgZr, from the Alexandria database.

Lattice parameters (Å, degrees): 5.1422 5.1422 5.1422 60.00 60.00 60.00
Last column: nearest neighbours and their distance in Å.
Fractional coordinates of all 3 atoms:
La 0.0000 0.0000 0.0000  4 Zr 3.15, 4 Mg 3.15
Mg 0.7500 0.7500 0.7500  4 La 3.15
Zr 0.2500 0.2500 0.2500  4 La 3.15

## Properties
Its polymorph energy (0 for the lowest one) is 944 meV per atom. The total energy comes out at -12.09 eV for the cell shown. The formation energy is 0.994 eV/atom. The total moment is 0.37 μB/atom.

=====

The following is a PBE calculation of an optimized crystal structure of AgHg2Se2, from the Alexandria database.

Lattice parameters (Å, degrees): 8.2504 8.2504 8.2504 151.51 151.51 40.72
Last column: nearest neighbours and their distance in Å.
Fractional coordinates of all 5 atoms:
Ag 0.0000 0.0000 0.0000  8 Se 3.12
Hg 0.2500 0.7500 0.5000  4 Hg 2.87
Hg 0.7500 0.2500 0.5000  4 Hg 2.87
Se 0.4208 0.4208 0.0000  1 Se 2.45
Se 0.5792 0.5792 0.0000  1 Se 2.45

## Properties
Its polymorph energy (0 for the lowest one) is 239 meV per atom. The total energy comes out at -9.38 eV for the cell shown. Its raw formation energy is 0.2087 eV per atom. The total moment is 0.00 μB/atom.

=====

The following is a PBE calculation of an optimized crystal structure of Fe2Pd2Pt, from the Alexandria database.

Lattice parameters (Å, degrees): 6.9575 6.9575 2.8538 90.00 90.00 90.00
Last column: nearest neighbours and their distance in Å.
Fractional coordinates of all 10 atoms:
Fe 0.1096 0.3904 0.0000  1 Fe 2.16
Fe 0.3904 0.8904 0.0000  1 Fe 2.16
Fe 0.6096 0.1096 0.0000  1 Fe 2.16
Fe 0.8904 0.6096 0.0000  1 Fe 2.16
Pd 0.1828 0.6828 0.5000  6 Fe 2.49-2.54
Pd 0.3172 0.1828 0.5000  6 Fe 2.49-2.54
Pd 0.6828 0.8172 0.5000  6 Fe 2.49-2.54
Pd 0.8172 0.3172 0.5000  6 Fe 2.49-2.54
Pt 0.0000 0.0000 0.0000  4 Fe 2.82, 2 Pt 2.85, 8 Pd 2.92
Pt 0.5000 0.5000 0.0000  4 Fe 2.82, 2 Pt 2.85, 8 Pd 2.92

## Properties
Its polymorph energy (0 for the lowest one) is 539 meV per atom. The total energy comes out at -62.76 eV for the cell shown. The formation energy is 0.394 eV/atom. The total moment is 0.00 μB/atom.

=====

The following is a PBE calculation of an optimized crystal structure of La4NdHo2Mg, from the Alexandria database.

Lattice parameters (Å, degrees): 5.9166 5.9166 7.7647 90.00 90.00 90.00
Last column: nearest neighbours and their distance in Å.
Fractional coordinates of all 8 atoms:
La 0.0000 0.5000 0.2434  2 Mg 3.51, 2 Nd 3.51, 4 Ho 3.57, 1 La 3.78
La 0.0000 0.5000 0.7566  2 Mg 3.51, 2 Nd 3.51, 4 Ho 3.57, 1 La 3.78
La 0.5000 0.0000 0.2434  2 Mg 3.51, 2 Nd 3.51, 4 Ho 3.57, 1 La 3.78
La 0.5000 0.0000 0.7566  2 Mg 3.51, 2 Nd 3.51, 4 Ho 3.57, 1 La 3.78
Nd 0.0000 0.0000 0.0000  8 La 3.51, 2 Ho 3.88
Ho 0.0000 0.0000 0.5000  8 La 3.57, 2 Nd 3.88
Ho 0.5000 0.5000 0.5000  8 La 3.57, 2 Mg 3.88
Mg 0.5000 0.5000 0.0000  8 La 3.51, 2 Ho 3.88

## Properties
The total energy comes out at -34.93 eV for the cell shown. The formation energy is 0.037 eV/atom. The total moment is 0.00 μB/atom.

=====

The following is a PBE calculation of an optimized crystal structure of Rb3ZrCl7, from the Alexandria database.

Lattice parameters (Å, degrees): 7.5842 7.5842 8.1722 115.59 115.59 87.72
Last column: nearest neighbours and their distance in Å.
Fractional coordinates of all 11 atoms:
Rb 0.0000 0.0000 0.0000  5 Cl 3.22-3.35
Rb 0.2674 0.7350 0.5659  7 Cl 3.28-3.66
Rb 0.7350 0.2674 0.5659  7 Cl 3.28-3.66
Zr 0.5452 0.5452 0.1184  7 Cl 2.50-2.72
Cl 0.2049 0.5027 0.8161  1 Zr 2.60
Cl 0.3773 0.3773 0.2347  1 Zr 2.52
Cl 0.3814 0.8473 0.2590  1 Zr 2.62
Cl 0.5027 0.2049 0.8161  1 Zr 2.60
Cl 0.6967 0.6967 0.9806  1 Zr 2.50
Cl 0.8183 0.8183 0.4960  1 Zr 2.72
Cl 0.8473 0.3814 0.2590  1 Zr 2.62

## Properties
The total energy comes out at -44.95 eV for the cell shown. Its raw formation energy is -1.8698 eV per atom. The total moment is 0.00 μB/atom.